Entry 1:
A plane-wave DFT calculation with GGA-PBE was carried out for a relaxed structure of P2AuSI.

The magnetization comes out at 0.00 Bohr magnetons per cell. As for the uncorrected formation energy: 1004 meV/atom. The value obtained for the final energy is -2.951 eV/atom. For the volume, the calculation gives 23.4 Å³ per atom. The density of states at the Fermi level comes out at 5.89 states/eV/cell.

It has space group P4/mmm (No. 123), with a = 4.915 Å, b = 4.915 Å, c = 4.852 Å, α = 90.00°, β = 90.00° and γ = 90.00°. The inequivalent atoms are P at (0.000, 0.500, 0.000), Au at (0.000, 0.000, 0.000), S at (0.000, 0.000, 0.500) and I at (0.500, 0.500, 0.500).


Entry 2:
A plane-wave DFT calculation with GGA-PBE was carried out for a relaxed structure of Sb2PAuI.

The magnetization comes out at 0.28 Bohr magnetons per cell. As for the uncorrected formation energy: 752 meV/atom. The value obtained for the final energy is -2.945 eV/atom. For the volume, the calculation gives 29.3 Å³ per atom. The density of states at the Fermi level comes out at 4.53 states/eV/cell.

It has space group P4/mmm (No. 123), with a = 5.285 Å, b = 5.285 Å, c = 5.241 Å, α = 90.00°, β = 90.00° and γ = 90.00°. The inequivalent atoms are Sb at (0.000, 0.500, 0.000), P at (0.000, 0.000, 0.000), Au at (0.500, 0.500, 0.500) and I at (0.000, 0.000, 0.500).